a:
A geometry-optimized GaIr3Ru structure, computed with PBE.

Unit cell a=4.525 b=4.525 c=4.525 alpha=90.00 beta=90.00 gamma=90.00
Each line ends with the local moment (μB).
Fractional coordinates of all 5 atoms:
Ir: 0.000 0.000 0.500  0.75
Ir: 0.500 0.000 0.000  0.80
Ir: 0.000 0.500 0.000  0.78
Ga: 0.000 0.000 0.000  -0.02
Ru: 0.500 0.500 0.500  2.72

Magnetization = 1.019 μB/atom
DOS at the Fermi energy = 5.035 states/eV per cell


b:
A geometry-optimized GaIr3Ru structure, computed with PBE.

Unit cell a=4.728 b=4.728 c=4.728 alpha=90.00 beta=90.00 gamma=90.00
Fractional coordinates of all 5 atoms:
Ir: 0.000 0.500 0.000
Ir: 0.000 0.000 0.500
Ru: 0.000 0.000 0.000
Ir: 0.500 0.000 0.000
Ga: 0.500 0.500 0.500

Magnetization = 0.000 μB/atom
DOS at the Fermi energy = 5.442 states/eV per cell


Referenced to the most stable arrangement, the calculated values in meV/atom are a 0; b 100.